This record from the Alexandria database describes a relaxed structure of LaFeTeO6. The functional is PBE with a Hubbard U.

Cell: 5.526 5.554 9.566 Å, 90.00 125.25 90.00°
Sites, in units of the cell vectors:
La: 0.000 0.215 0.000
La: 0.000 0.785 0.500
Fe: 0.757 0.258 0.251
Fe: 0.757 0.742 0.751
Te: 0.258 0.256 0.751
Te: 0.258 0.744 0.251
O: 0.015 0.467 0.215
O: 0.015 0.533 0.715
O: 0.074 0.240 0.506
O: 0.074 0.760 0.006
O: 0.432 0.259 0.995
O: 0.432 0.741 0.495
O: 0.514 0.015 0.284
O: 0.514 0.985 0.784
O: 0.574 0.463 0.789
O: 0.574 0.537 0.289
O: 0.960 0.032 0.720
O: 0.960 0.968 0.220

Summary:
space-group type = No. 7
total moment = 5.06 μB per formula unit
calculated total energy = -118.974 eV for the cell shown